# PmH7Pd2Au, optimized geometry, DFT PBE
data_PmH7Pd2Au
_chemical_formula_sum 'Pm1 H7 Pd2 Au1'
_space_group_name_H-M_alt 'P 1'
_space_group_IT_number 1
_cell_length_a 3.711
_cell_length_b 3.711
_cell_length_c 8.528
_cell_angle_alpha 102.57
_cell_angle_beta 102.57
_cell_angle_gamma 90.00
loop_
_space_group_symop_operation_xyz
'x,y,z'
loop_
_atom_site_label
_atom_site_type_symbol
_atom_site_fract_x
_atom_site_fract_y
_atom_site_fract_z
Pm1 Pm 0.500 0.500 0.000
H1 H 0.106 0.606 0.212
H2 H 0.000 0.000 0.000
H3 H 0.394 0.894 0.788
H4 H 0.763 0.763 0.527
H5 H 0.604 0.104 0.209
H6 H 0.237 0.237 0.473
H7 H 0.896 0.396 0.791
Pd1 Pd 0.890 0.890 0.780
Pd2 Pd 0.110 0.110 0.220
Au1 Au 0.250 0.750 0.500
# * calculated total energy: -4.0197 eV per atom